Here is PaGaRh after structural relaxation from the Alexandria database. Energies are from PBE-GGA.

Geometry as extended XYZ:
```
3
Lattice="4.506 0.000 0.000 -2.253 3.902 0.000 0.000 0.000 3.243" Properties=species:S:1:pos:R:3 pbc="T T T"
Pa 0.000 0.000 0.000
Ga 2.253 1.301 1.621
Rh 0.000 2.601 1.621
```

VASP energy in eV/atom: -7.308
Energy of formation from the pure elements in kJ/mol of atoms: -66
Crystal system: hexagonal
Symmetry: No. 187


Here is Ir3Au after structural relaxation from the Alexandria database. Energies are from PBE-GGA.

Geometry as extended XYZ:
```
8
Lattice="4.595 0.000 0.000 0.000 5.614 0.000 0.000 0.000 4.785" Properties=species:S:1:pos:R:3 pbc="T T T"
Ir 1.149 0.045 0.748
Ir 1.149 1.404 3.222
Ir 1.149 2.762 0.748
Ir 3.446 2.853 4.037
Ir 3.446 4.211 1.564
Ir 3.446 5.569 4.037
Au 1.149 4.211 3.151
Au 3.446 1.404 1.635
```

VASP energy in eV/atom: -7.051
Energy of formation from the pure elements in kJ/mol of atoms: 40
Crystal system: orthorhombic
Symmetry: No. 59


Here is Pu2MgGa after structural relaxation from the Alexandria database. Energies are from PBE-GGA.

Geometry as extended XYZ:
```
4
Lattice="1.593 0.920 11.487 -1.593 0.920 11.487 0.000 -1.840 11.487" Properties=species:S:1:pos:R:3 pbc="T T T"
Pu 0.000 0.000 3.259
Pu 0.000 0.000 31.203
Mg 0.000 0.000 0.000
Ga 0.000 0.000 17.231
```

VASP energy in eV/atom: -8.151
Energy of formation from the pure elements in kJ/mol of atoms: 16
Crystal system: trigonal
Symmetry: No. 166


Here is RbZrMn2Pb after structural relaxation from the Alexandria database. Energies are from PBE-GGA.

Geometry as extended XYZ:
```
5
Lattice="5.087 0.000 0.000 0.000 5.087 0.000 0.000 0.000 5.602" Properties=species:S:1:pos:R:3 pbc="T T T"
Rb 0.000 0.000 0.000
Zr 2.543 2.543 0.000
Mn 0.000 2.543 2.801
Mn 2.543 0.000 2.801
Pb 2.543 2.543 2.801
```

VASP energy in eV/atom: -4.389
Energy of formation from the pure elements in kJ/mol of atoms: 186
Crystal system: tetragonal
Symmetry: No. 123


Here is KAcSnCl6 after structural relaxation from the Alexandria database. Energies are from PBE-GGA.

Geometry as extended XYZ:
```
18
Lattice="6.917 0.000 0.000 0.000 6.917 0.000 0.000 0.000 13.606" Properties=species:S:1:pos:R:3 pbc="T T T"
K 0.000 0.000 0.000
K 3.459 3.459 6.803
Ac 0.000 0.000 4.544
Ac 3.459 3.459 11.347
Sn 0.000 0.000 9.079
Sn 3.459 3.459 2.276
Cl 1.259 1.259 6.839
Cl 1.412 1.412 11.177
Cl 1.422 1.422 2.458
Cl 2.037 4.880 9.260
Cl 2.047 4.870 4.374
Cl 2.200 4.717 0.036
Cl 4.717 2.200 0.036
Cl 4.870 2.047 4.374
Cl 4.880 2.037 9.260
Cl 5.495 5.495 2.458
Cl 5.505 5.505 11.177
Cl 5.658 5.658 6.839
```

VASP energy in eV/atom: -4.099
Crystal system: tetragonal
Symmetry: No. 102
E_form (uncorrected) in kcal/mol of atoms: -42.54


Here is ScCrAuN2 after structural relaxation from the Alexandria database. Energies are from PBE-GGA.

Geometry as extended XYZ:
```
5
Lattice="3.768 0.000 0.000 0.000 3.768 0.000 0.000 0.000 5.058" Properties=species:S:1:pos:R:3 pbc="T T T"
Sc 0.000 0.000 0.000
Cr 1.884 1.884 2.529
Au 1.884 1.884 0.000
N 0.000 1.884 2.529
N 1.884 0.000 2.529
```

VASP energy in eV/atom: -6.972
Crystal system: tetragonal
Symmetry: No. 123
E_form (uncorrected) in kcal/mol of atoms: 4.73


Here is Ga2Hg2Bi after structural relaxation from the Alexandria database. Energies are from PBE-GGA.

Geometry as extended XYZ:
```
10
Lattice="8.375 0.000 0.000 0.000 8.375 0.000 0.000 0.000 3.564" Properties=species:S:1:pos:R:3 pbc="T T T"
Ga 1.397 2.791 0.000
Ga 2.791 6.979 0.000
Ga 5.584 1.397 0.000
Ga 6.979 5.584 0.000
Hg 1.152 5.340 1.782
Hg 3.035 1.152 1.782
Hg 5.340 7.223 1.782
Hg 7.223 3.035 1.782
Bi 0.000 0.000 0.000
Bi 4.188 4.188 0.000
```

VASP energy in eV/atom: -2.002
Energy of formation from the pure elements in kJ/mol of atoms: 10
ΔE to the lowest computed polymorph in eV per atom: 0.006
Crystal system: tetragonal
Symmetry: No. 127


Here is KRu2Rh after structural relaxation from the Alexandria database. Energies are from PBE-GGA.

Geometry as extended XYZ:
```
4
Lattice="-1.364 2.566 5.090 1.364 -2.566 5.090 1.364 2.566 -5.090" Properties=species:S:1:pos:R:3 pbc="T T T"
K 0.000 0.000 0.000
Ru 0.000 0.000 5.172
Ru 0.000 2.566 2.190
Rh 1.364 0.000 2.895
```

VASP energy in eV/atom: -5.774
Energy of formation from the pure elements in kJ/mol of atoms: 94
ΔE to the lowest computed polymorph in eV per atom: 0.383
Crystal system: orthorhombic
Symmetry: No. 44


Here is In2Pb2N after structural relaxation from the Alexandria database. Energies are from PBE-GGA.

Geometry as extended XYZ:
```
10
Lattice="6.664 0.000 0.000 0.000 6.664 0.000 0.000 0.000 5.997" Properties=species:S:1:pos:R:3 pbc="T T T"
In 1.123 2.209 0.000
In 2.209 5.541 0.000
In 4.455 1.123 0.000
In 5.541 4.455 0.000
Pb 1.156 4.488 2.998
Pb 2.176 1.156 2.998
Pb 4.488 5.508 2.998
Pb 5.508 2.176 2.998
N 0.000 0.000 2.998
N 3.332 3.332 2.998
```

VASP energy in eV/atom: -3.648
ΔE to the lowest computed polymorph in eV per atom: 0.000
Crystal system: tetragonal
Symmetry: No. 127
E_form (uncorrected) in kcal/mol of atoms: 13.74


Here is Nd3Al2Cd7 after structural relaxation from the Alexandria database. Energies are from PBE-GGA.

Geometry as extended XYZ:
```
12
Lattice="2.988 1.725 9.350 -2.988 1.725 9.350 0.000 -3.450 9.350" Properties=species:S:1:pos:R:3 pbc="T T T"
Nd 0.000 0.000 0.000
Nd 0.000 0.000 3.999
Nd 0.000 0.000 24.050
Al 0.000 0.000 9.386
Al 0.000 0.000 18.663
Cd -1.520 -0.878 11.622
Cd 0.000 -1.756 16.427
Cd -1.520 0.878 16.427
Cd 0.000 0.000 14.024
Cd 1.520 -0.878 11.622
Cd 0.000 1.756 11.622
Cd 1.520 0.878 16.427
```

VASP energy in eV/atom: -2.582
Energy of formation from the pure elements in kJ/mol of atoms: -22
Crystal system: trigonal
Symmetry: No. 166


Here is GeBiPt3 after structural relaxation from the Alexandria database. Energies are from PBE-GGA.

Geometry as extended XYZ:
```
20
Lattice="8.219 0.000 0.000 0.000 3.976 0.000 0.000 0.000 11.522" Properties=species:S:1:pos:R:3 pbc="T T T"
Ge 0.721 0.994 1.684
Ge 3.389 2.982 7.445
Ge 4.830 0.994 4.078
Ge 7.498 2.982 9.839
Bi 1.375 0.994 5.479
Bi 2.735 2.982 11.240
Bi 5.484 0.994 0.282
Bi 6.844 2.982 6.044
Pt 0.661 0.994 10.668
Pt 0.892 2.982 7.868
Pt 1.315 2.982 3.122
Pt 2.794 0.994 8.883
Pt 3.218 0.994 2.107
Pt 3.449 2.982 4.907
Pt 4.771 0.994 6.615
Pt 5.002 2.982 9.415
Pt 5.425 2.982 2.639
Pt 6.904 0.994 8.400
Pt 7.327 0.994 3.654
Pt 7.558 2.982 0.854
```

VASP energy in eV/atom: -5.561
Energy of formation from the pure elements in kJ/mol of atoms: -23
ΔE to the lowest computed polymorph in eV per atom: 0.000
Crystal system: orthorhombic
Symmetry: No. 62


Here is LaYTl2O after structural relaxation from the Alexandria database. Energies are from PBE-GGA.

Geometry as extended XYZ:
```
5
Lattice="5.572 0.000 0.000 0.000 5.572 0.000 0.000 0.000 4.438" Properties=species:S:1:pos:R:3 pbc="T T T"
La 0.000 0.000 0.000
Y 2.786 2.786 0.000
Tl 0.000 2.786 2.219
Tl 2.786 0.000 2.219
O 0.000 0.000 2.219
```

VASP energy in eV/atom: -5.076
Crystal system: tetragonal
Symmetry: No. 123
E_form (uncorrected) in kcal/mol of atoms: -19.81


| no. | D(E_F) (states/eV/cell) |
| --- | --- |
| 1 | 3.554 |
| 2 | 12.711 |
| 3 | 14.000 |
| 4 | 11.198 |
| 5 | 0.000 |
| 6 | 3.448 |
| 7 | 4.460 |
| 8 | 5.289 |
| 9 | 7.219 |
| 10 | 10.803 |
| 11 | 11.392 |
| 12 | 3.754 |